No. 1
Density functional theory data (PBEsol) for a relaxed Fe4Ni4PdS8 crystal.

Computed properties:
theoretical density	5.64	g/cm3
V	967.3	Å³/cell
Fermi-level density of states	33.9	states/eV per cell
ΔE_f (raw)	-0.53	eV per atom

abc: 9.890 9.890 9.890
angles: 90.00 90.00 90.00
Space group F-43m (No. 216)
One atom of each set of equivalent atoms:
Fe  0.124  0.124  0.376 x16
Ni  0.123  0.123  0.123 x16
Pd  0.250  0.250  0.750 x4
S  0.000  0.000  0.000 x4
S  0.000  0.000  0.500 x4
S  0.002  0.250  0.750 x24

No. 2
Density functional theory data (PBEsol) for a relaxed FeNi2Pt crystal.

Computed properties:
theoretical density	12.81	g/cm3
ΔE_f	-0.061	eV/atom
V	95.5	Å³/cell
Fermi-level density of states	10.5	states/eV per cell

abc: 8.422 2.604 4.437
angles: 90.00 100.98 90.00
Space group C2/m (No. 12)
One atom of each set of equivalent atoms:
Fe  0.000  0.000  0.000 x2
Ni  0.247  0.500  0.238 x4
Pt  0.000  0.500  0.500 x2

No. 3
Density functional theory data (PBEsol) for a relaxed Fe2NiPt crystal.

Computed properties:
theoretical density	12.45	g/cm3
ΔE_f	-0.097	eV/atom
V	97.5	Å³/cell
Fermi-level density of states	5.3	states/eV per cell

abc: 5.120 7.306 2.605
angles: 90.00 90.00 90.00
Space group Cmmm (No. 65)
One atom of each set of equivalent atoms:
Fe  0.250  0.250  0.000 x4
Ni  0.000  0.000  0.500 x2
Pt  0.000  0.500  0.500 x2

No. 4
Density functional theory data (PBEsol) for a relaxed FeNi2Pt crystal.

Computed properties:
theoretical density	12.84	g/cm3
ΔE_f	-0.080	eV/atom
V	47.7	Å³/cell
Fermi-level density of states	4.2	states/eV per cell

abc: 2.598 3.511 5.224
angles: 90.00 90.00 90.00
Space group Pmmm (No. 47)
One atom of each set of equivalent atoms:
Fe  0.000  0.000  0.000 x1
Ni  0.500  0.500  0.234 x2
Pt  0.000  0.000  0.500 x1

Question: What is the formula in the first record?
Answer: Fe4Ni4PdS8

Question: Which value of V does entry 2 give?
Answer: 95.5 Å³/cell

Question: What is the theoretical density in the third record?
Answer: 12.45 g/cm3